Below is Li2CeTl after structural relaxation, with properties calculated at the PBE level.

Calculated values
ΔE to the lowest computed polymorph: 73.7 kJ/mol of formula units

Geometry as POSCAR:
```
Li2CeTl
1.0
3.8968 0.0000 0.0000
0.0000 4.9286 0.0000
0.0000 0.0000 4.9286
Ce Tl Li
1 1 2
Direct
0.5000 0.5000 0.5000
0.5000 0.0000 0.0000
0.0000 0.5000 0.0000
0.0000 0.0000 0.5000
```


Below is NdY2Bi after structural relaxation, with properties calculated at the PBE level.

Calculated values
ΔE to the lowest computed polymorph: 96.0 kJ/mol of formula units

Geometry as POSCAR:
```
NdY2Bi
1.0
-3.7825 0.2437 1.3294
-3.0450 -1.0370 -2.4056
-1.7147 -9.5744 2.9443
Y Nd Bi
2 1 1
Direct
0.7353 0.7353 0.7942
0.2647 0.2647 0.2058
0.5000 0.5000 0.5000
0.0000 0.0000 0.0000
```


Below is ScTcAu2 after structural relaxation, with properties calculated at the PBE level.

Calculated values
ΔE to the lowest computed polymorph: 148.6 kJ/mol of formula units

Geometry as POSCAR:
```
ScTcAu2
1.0
9.5251 -0.0131 -0.0077
9.0731 2.8995 -0.0077
9.0731 1.4081 2.5346
Sc Tc Au
1 1 2
Direct
0.2500 0.2500 0.2500
0.7500 0.7500 0.7500
0.4983 0.4983 0.4983
0.0017 0.0017 0.0017
```


Below is Na3CdPb after structural relaxation, with properties calculated at the PBE level.

Calculated values
ΔE to the lowest computed polymorph: 0.0 kJ/mol of formula units

Geometry as POSCAR:
```
Na3CdPb
1.0
-4.3143 -3.0872 -0.3957
3.6318 -4.8152 -2.0296
2.0903 -3.8388 7.1626
Na Pb Cd
6 2 2
Direct
0.1244 0.5027 0.6655
0.6244 0.9858 0.1736
0.6244 0.8016 0.5733
0.1244 0.1126 0.4736
0.6244 0.5957 0.9817
0.1244 0.2968 0.0739
0.6244 0.2059 0.7632
0.1244 0.8926 0.8840
0.6244 0.4180 0.3669
0.1244 0.6805 0.2804
```


Below is U2CuP4 after structural relaxation, with properties calculated at the PBE level.

Geometry as POSCAR:
```
U2CuP4
1.0
-2.0137 -0.3178 3.1456
-3.0921 -0.5798 -2.0380
1.5848 -8.8684 0.1185
P U Cu
4 2 1
Direct
0.0000 0.5000 0.8421
0.5000 0.5000 0.5000
0.5000 0.0000 0.1579
0.0000 0.0000 0.5000
0.0000 0.5000 0.2614
0.5000 0.0000 0.7386
0.5000 0.5000 0.0000
```


Below is NaLiSnBr6 after structural relaxation, with properties calculated at the PBE level.

Calculated values
raw formation energy: -1.02 eV per atom

Geometry as POSCAR:
```
NaLiSnBr6
1.0
6.9510 0.0000 0.0000
-3.4755 6.0198 0.0000
0.0000 0.0000 13.1785
Na Br Li Sn
2 12 2 2
Direct
0.0000 0.0000 0.0000
0.0000 0.0000 0.5000
0.9903 0.6346 0.3660
0.6346 0.9903 0.8660
0.3557 0.3654 0.8660
0.6346 0.6443 0.6340
0.3654 0.3557 0.3660
0.0097 0.6443 0.8660
0.6443 0.0097 0.3660
0.3557 0.9903 0.6340
0.6443 0.6346 0.1340
0.9903 0.3557 0.1340
0.3654 0.0097 0.1340
0.0097 0.3654 0.6340
0.6667 0.3333 0.7500
0.3333 0.6667 0.2500
0.6667 0.3333 0.2500
0.3333 0.6667 0.7500
```


Below is Tb5CeSmY2 after structural relaxation, with properties calculated at the PBE level.

Geometry as POSCAR:
```
Tb5CeSmY2
1.0
-3.2129 1.2443 4.4740
-0.0616 -10.3887 -0.7188
8.4062 -0.4767 6.1692
Tb Sm Y Ce
10 2 4 2
Direct
0.9818 0.9637 0.5252
0.6073 0.2146 0.5277
0.0182 0.0363 0.0252
0.4768 0.9537 0.7391
0.3927 0.7854 0.0277
0.5232 0.0463 0.2391
0.7032 0.4063 0.2030
0.2789 0.5578 0.3107
0.7211 0.4422 0.8107
0.2968 0.5937 0.7030
0.4127 0.8254 0.4494
0.5873 0.1746 0.9494
0.8850 0.7700 0.8225
0.1128 0.2255 0.7332
0.8872 0.7745 0.2332
0.1150 0.2300 0.3225
0.2032 0.4064 0.0132
0.7968 0.5936 0.5132
```


Below is HfN4 after structural relaxation, with properties calculated at the PBE level.

Calculated values
raw formation energy: 2.11 eV per atom

Geometry as POSCAR:
```
HfN4
1.0
-3.1571 -2.8166 0.3147
-0.2961 -0.1408 -4.2299
2.8186 -3.1696 -0.0918
N Hf
4 1
Direct
0.0000 0.5000 0.5000
0.5000 0.5000 0.0000
0.0000 0.0000 0.0000
0.5000 0.0000 0.5000
0.5000 0.5000 0.5000
```


no.,energy (eV per atom)
1,-2.972
2,-5.582
3,-5.665
4,-1.830
5,-7.563
6,-2.942
7,-5.019
8,-6.540